Record 1
An optimized crystal structure of Rb2Pu2CoS6, computed with PBE.

Lattice parameters (Å, degrees): 6.564 6.564 8.176 98.19 98.19 118.93
Last column: magnetic moment on the atom in μB.
Sites, in units of the cell vectors:
Rb 0.172 0.828 0.000  0.00
Rb 0.828 0.172 0.000  0.00
Co 0.000 0.000 0.500  0.31
S 0.764 0.764 0.674  -0.12
S 0.236 0.236 0.326  -0.12
S 0.064 0.364 0.677  -0.12
S 0.636 0.936 0.323  -0.12
S 0.364 0.064 0.677  -0.12
S 0.936 0.636 0.323  -0.12
Pu 0.667 0.333 0.500  4.71
Pu 0.333 0.667 0.500  4.71

Results
Energy relative to the elements, uncorrected, eV/atom: -1.139
Space group: No. 12

=====

Record 2
An optimized crystal structure of Rb3Pu2CoSe6, computed with PBE.

Lattice parameters (Å, degrees): 7.206 7.206 8.267 98.38 98.38 119.99
Last column: magnetic moment on the atom in μB.
Sites, in units of the cell vectors:
Rb 0.169 0.831 0.500  0.00
Rb 0.500 0.500 0.500  0.00
Rb 0.831 0.169 0.500  0.00
Se 0.378 0.062 0.185  -0.10
Se 0.255 0.255 0.813  -0.09
Se 0.745 0.745 0.187  -0.09
Se 0.622 0.938 0.815  -0.10
Se 0.062 0.378 0.185  -0.10
Se 0.938 0.622 0.815  -0.10
Pu 0.666 0.334 0.000  4.91
Pu 0.334 0.666 0.000  4.91
Co 0.000 0.000 0.000  1.99

Results
Energy relative to the elements, uncorrected, eV/atom: -1.050
Space group: No. 12

=====

Record 3
An optimized crystal structure of Rb2Pu2CoSe6, computed with PBE.

Lattice parameters (Å, degrees): 6.862 6.862 8.538 98.41 98.41 118.86
Last column: magnetic moment on the atom in μB.
Sites, in units of the cell vectors:
Rb 0.174 0.826 0.000  0.00
Rb 0.826 0.174 0.000  0.00
Se 0.768 0.768 0.678  -0.13
Se 0.932 0.635 0.318  -0.13
Se 0.232 0.232 0.322  -0.13
Se 0.365 0.068 0.682  -0.13
Se 0.068 0.365 0.682  -0.13
Se 0.635 0.932 0.318  -0.13
Pu 0.668 0.332 0.500  4.86
Pu 0.332 0.668 0.500  4.86
Co 0.000 0.000 0.500  0.18

Results
Energy relative to the elements, uncorrected, eV/atom: -1.025
Space group: No. 12

=====

Record 4
An optimized crystal structure of PuCoRe, computed with PBE.

Lattice parameters (Å, degrees): 5.277 5.228 5.228 58.32 59.69 59.69
Last column: magnetic moment on the atom in μB.
Sites, in units of the cell vectors:
Re 0.500 0.000 0.500  -0.37
Re 0.500 0.500 0.000  -0.37
Co 0.000 0.000 0.000  -0.83
Co 0.500 0.000 0.000  -0.83
Pu 0.119 0.631 0.631  4.87
Pu 0.881 0.369 0.369  4.87

Results
E above lowest polymorph, meV/atom: 0.0
Space group: No. 74
Formation energy, meV per atom: 2

=====

Record 5
An optimized crystal structure of PuCoRe, computed with PBE.

Lattice parameters (Å, degrees): 4.193 4.193 5.849 90.00 90.00 90.00
Last column: magnetic moment on the atom in μB.
Sites, in units of the cell vectors:
Re 0.500 0.500 0.500  0.39
Re 0.000 0.000 0.500  0.39
Pu 0.500 0.000 0.151  -4.73
Pu 0.000 0.500 0.849  -4.73
Co 0.000 0.500 0.261  0.67
Co 0.500 0.000 0.739  0.67

Results
E above lowest polymorph, meV/atom: 164.5
Space group: No. 129
Formation energy, meV per atom: 166

=====

Record 6
An optimized crystal structure of PuCoRe2, computed with PBE.

Lattice parameters (Å, degrees): 4.463 4.463 4.491 60.21 60.21 60.00
Last column: magnetic moment on the atom in μB.
Sites, in units of the cell vectors:
Co 0.500 0.500 0.500  1.64
Pu 0.000 0.000 0.000  4.61
Re 0.745 0.745 0.765  0.13
Re 0.255 0.255 0.235  0.13

Results
Space group: No. 166
Formation energy, meV per atom: 437

=====

Record 7
An optimized crystal structure of PuUCoRe, computed with PBE.

Lattice parameters (Å, degrees): 4.542 4.542 4.542 60.00 60.00 60.00
Last column: magnetic moment on the atom in μB.
Sites, in units of the cell vectors:
Re 0.750 0.750 0.750  -0.47
Pu 0.250 0.250 0.250  4.00
Co 0.000 0.000 0.000  -1.19
U 0.500 0.500 0.500  0.52

Results
Space group: No. 216
Formation energy, meV per atom: -3

=====

Record 8
An optimized crystal structure of Pu12CoRh6, computed with PBE.

Lattice parameters (Å, degrees): 7.254 7.254 7.254 95.22 95.22 95.22
Last column: magnetic moment on the atom in μB.
Sites, in units of the cell vectors:
Pu 0.391 0.080 0.153  -4.72
Pu 0.609 0.920 0.847  -4.72
Pu 0.847 0.609 0.920  -4.72
Pu 0.153 0.391 0.080  -4.72
Pu 0.823 0.534 0.407  4.77
Pu 0.080 0.153 0.391  -4.72
Pu 0.177 0.466 0.593  4.77
Pu 0.534 0.407 0.823  4.77
Pu 0.466 0.593 0.177  4.77
Pu 0.920 0.847 0.609  -4.72
Pu 0.593 0.177 0.466  4.77
Pu 0.407 0.823 0.534  4.77
Rh 0.232 0.746 0.894  -0.03
Rh 0.894 0.232 0.746  -0.03
Rh 0.768 0.254 0.106  -0.03
Rh 0.746 0.894 0.232  -0.03
Rh 0.106 0.768 0.254  -0.03
Rh 0.254 0.106 0.768  -0.03
Co 0.000 0.000 0.000  0.76

Results
Space group: No. 148
Formation energy, meV per atom: -211

=====

Record 9
An optimized crystal structure of Pu6CoRh5, computed with PBE.

Lattice parameters (Å, degrees): 4.792 6.862 7.602 90.00 71.81 90.00
Last column: magnetic moment on the atom in μB.
Sites, in units of the cell vectors:
Pu 0.164 0.751 0.672  5.09
Pu 0.836 0.751 0.328  5.09
Pu 0.500 0.245 0.000  5.15
Pu 0.164 0.249 0.672  5.09
Pu 0.836 0.249 0.328  5.09
Pu 0.500 0.755 0.000  5.15
Rh 0.668 0.500 0.663  -0.38
Rh 0.000 0.500 0.000  -0.37
Rh 0.669 0.000 0.662  -0.39
Rh 0.332 0.500 0.337  -0.38
Rh 0.331 0.000 0.338  -0.39
Co 0.000 0.000 0.000  -1.22

Results
Space group: No. 10
Formation energy, meV per atom: -343

=====

Record 10
An optimized crystal structure of PuCoSi3Rh, computed with PBE.

Lattice parameters (Å, degrees): 5.470 7.039 6.585 122.31 90.00 90.00
Last column: magnetic moment on the atom in μB.
Sites, in units of the cell vectors:
Si 0.000 0.758 0.000  -0.02
Si 0.500 0.758 0.000  -0.02
Si 0.000 0.242 0.000  -0.02
Si 0.250 0.236 0.472  0.02
Si 0.750 0.764 0.528  0.02
Si 0.500 0.242 0.000  -0.02
Pu 0.250 0.757 0.513  5.38
Pu 0.750 0.243 0.487  5.38
Co 0.250 0.048 0.097  0.09
Co 0.750 0.952 0.903  0.09
Rh 0.750 0.565 0.130  0.02
Rh 0.250 0.435 0.870  0.02

Results
Energy relative to the elements, uncorrected, eV/atom: -0.370
Space group: No. 63

=====

Record 11
An optimized crystal structure of Pu2CoSi6Rh, computed with PBE.

Lattice parameters (Å, degrees): 5.783 5.783 12.069 76.14 76.14 60.00
Last column: magnetic moment on the atom in μB.
Sites, in units of the cell vectors:
Si 0.664 0.664 0.601  -0.03
Si 0.228 0.649 0.895  -0.03
Si 0.228 0.228 0.895  -0.03
Si 0.336 0.928 0.399  -0.03
Si 0.772 0.772 0.105  -0.03
Si 0.351 0.772 0.105  -0.03
Si 0.336 0.336 0.399  -0.03
Si 0.072 0.664 0.601  -0.03
Si 0.664 0.072 0.601  -0.03
Si 0.772 0.351 0.105  -0.03
Si 0.928 0.336 0.399  -0.03
Si 0.649 0.228 0.895  -0.03
Co 0.000 0.000 0.000  0.46
Co 0.500 0.500 0.500  0.15
Pu 0.290 0.290 0.129  5.17
Pu 0.890 0.890 0.329  5.23
Pu 0.710 0.710 0.871  5.17
Pu 0.110 0.110 0.671  5.23
Rh 0.574 0.574 0.277  0.02
Rh 0.426 0.426 0.723  0.02

Results
Energy relative to the elements, uncorrected, eV/atom: -0.453
Space group: No. 166

=====

Record 12
An optimized crystal structure of PuCoSnRh, computed with PBE.

Lattice parameters (Å, degrees): 4.666 4.666 4.666 60.00 60.00 60.00
Last column: magnetic moment on the atom in μB.
Sites, in units of the cell vectors:
Rh 0.000 0.000 0.000  -0.26
Pu 0.750 0.750 0.750  4.96
Co 0.500 0.500 0.500  -1.12
Sn 0.250 0.250 0.250  -0.02

Results
Space group: No. 216
Formation energy, meV per atom: -281

=====

Record 13
An optimized crystal structure of TbPuCoRh, computed with PBE.

Lattice parameters (Å, degrees): 4.796 4.796 4.796 60.00 60.00 60.00
Last column: magnetic moment on the atom in μB.
Sites, in units of the cell vectors:
Rh 0.500 0.500 0.500  -0.25
Co 0.000 0.000 0.000  -1.01
Pu 0.750 0.750 0.750  5.13
Tb 0.250 0.250 0.250  0.21

Results
Space group: No. 216
Formation energy, meV per atom: -299

=====

Record 14
An optimized crystal structure of PuUCoRh, computed with PBE.

Lattice parameters (Å, degrees): 4.519 4.519 4.519 60.00 60.00 60.00
Last column: magnetic moment on the atom in μB.
Sites, in units of the cell vectors:
Co 0.500 0.500 0.500  -0.62
U 0.000 0.000 0.000  0.61
Rh 0.250 0.250 0.250  -0.09
Pu 0.750 0.750 0.750  4.21

Results
Space group: No. 216
Formation energy, meV per atom: -369

=====

Record 15
An optimized crystal structure of PuZnCoRh, computed with PBE.

Lattice parameters (Å, degrees): 4.495 4.495 4.495 60.00 60.00 60.00
Last column: magnetic moment on the atom in μB.
Sites, in units of the cell vectors:
Rh 0.750 0.750 0.750  -0.19
Pu 0.000 0.000 0.000  4.83
Zn 0.500 0.500 0.500  0.01
Co 0.250 0.250 0.250  -0.79

Results
Space group: No. 216
Formation energy, meV per atom: -223

=====

Record 16
An optimized crystal structure of Pu4CoRu2, computed with PBE.

Lattice parameters (Å, degrees): 7.207 7.207 7.207 109.19 110.04 109.19
Last column: magnetic moment on the atom in μB.
Sites, in units of the cell vectors:
Ru 0.248 0.623 0.125  -0.61
Ru 0.375 0.877 0.752  -0.61
Ru 0.502 0.377 0.625  -0.61
Ru 0.875 0.123 0.498  -0.61
Co 0.750 0.500 0.250  -0.90
Co 0.000 0.000 0.000  -0.90
Pu 0.989 0.619 0.739  5.05
Pu 0.119 0.881 0.369  5.05
Pu 0.261 0.250 0.881  5.05
Pu 0.631 0.750 0.511  5.05
Pu 0.631 0.750 0.011  5.05
Pu 0.489 0.119 0.239  5.05
Pu 0.761 0.250 0.881  5.05
Pu 0.119 0.381 0.369  5.05

Results
Space group: No. 122
Formation energy, meV per atom: -40

=====

Record 17
An optimized crystal structure of PuCoRu, computed with PBE.

Lattice parameters (Å, degrees): 3.911 3.911 3.911 70.86 70.86 70.86
Last column: magnetic moment on the atom in μB.
Sites, in units of the cell vectors:
Ru 0.067 0.067 0.067  -0.69
Pu 0.701 0.701 0.701  4.70
Co 0.345 0.345 0.345  -1.08

Results
E above lowest polymorph, meV/atom: 305.7
Space group: No. 160
Formation energy, meV per atom: 147

=====

Record 18
An optimized crystal structure of Pu6CoRu5, computed with PBE.

Lattice parameters (Å, degrees): 8.233 4.791 7.558 71.52 79.37 54.42
Last column: magnetic moment on the atom in μB.
Sites, in units of the cell vectors:
Ru 0.000 0.669 0.662  -0.77
Ru 0.500 0.833 0.335  -0.69
Ru 0.500 0.500 0.000  -0.71
Ru 0.500 0.167 0.665  -0.69
Ru 0.000 0.331 0.338  -0.77
Co 0.000 0.000 0.000  -1.28
Pu 0.752 0.083 0.330  4.93
Pu 0.248 0.587 0.330  4.93
Pu 0.754 0.746 0.000  5.00
Pu 0.752 0.413 0.670  4.93
Pu 0.246 0.254 0.000  5.00
Pu 0.248 0.917 0.670  4.93

Results
Space group: No. 65
Formation energy, meV per atom: -110

=====

Record 19
An optimized crystal structure of PuCo2Ru, computed with PBE.

Lattice parameters (Å, degrees): 3.934 3.853 3.853 90.00 90.00 90.00
Last column: magnetic moment on the atom in μB.
Sites, in units of the cell vectors:
Pu 0.500 0.500 0.500  4.21
Co 0.000 0.000 0.500  -1.39
Co 0.000 0.500 0.000  -1.39
Ru 0.500 0.000 0.000  -0.84

Results
E above lowest polymorph, meV/atom: 0.0
Space group: No. 123
Formation energy, meV per atom: -12

=====

Record 20
An optimized crystal structure of Pu12CoRu6, computed with PBE.

Lattice parameters (Å, degrees): 7.204 7.204 7.204 96.00 96.00 96.00
Last column: magnetic moment on the atom in μB.
Sites, in units of the cell vectors:
Ru 0.766 0.243 0.105  0.00
Ru 0.757 0.895 0.234  0.00
Ru 0.243 0.105 0.766  0.00
Ru 0.895 0.234 0.757  0.00
Ru 0.105 0.766 0.243  0.00
Ru 0.234 0.757 0.895  0.00
Pu 0.088 0.158 0.395  4.49
Pu 0.174 0.475 0.601  -4.58
Pu 0.399 0.826 0.525  -4.58
Pu 0.395 0.088 0.158  4.49
Pu 0.601 0.174 0.475  -4.58
Pu 0.525 0.399 0.826  -4.58
Pu 0.158 0.395 0.088  4.49
Pu 0.605 0.912 0.842  4.49
Pu 0.912 0.842 0.605  4.49
Pu 0.475 0.601 0.174  -4.58
Pu 0.826 0.525 0.399  -4.58
Pu 0.842 0.605 0.912  4.49
Co 0.000 0.000 0.000  -0.23

Results
Space group: No. 148
Formation energy, meV per atom: -22

=====

Record 21
An optimized crystal structure of PuCo2Ru, computed with PBE.

Lattice parameters (Å, degrees): 4.434 4.434 4.335 59.24 59.24 60.00
Last column: magnetic moment on the atom in μB.
Sites, in units of the cell vectors:
Ru 0.500 0.500 0.500  0.88
Co 0.236 0.236 0.292  1.21
Co 0.764 0.764 0.708  1.21
Pu 0.000 0.000 0.000  -4.72

Results
E above lowest polymorph, meV/atom: 146.6
Space group: No. 166
Formation energy, meV per atom: 134

=====

Record 22
An optimized crystal structure of PuCoRu, computed with PBE.

Lattice parameters (Å, degrees): 4.881 5.193 5.193 62.43 61.97 61.97
Last column: magnetic moment on the atom in μB.
Sites, in units of the cell vectors:
Ru 0.500 0.500 0.000  -0.65
Ru 0.500 0.000 0.500  -0.65
Co 0.000 0.000 0.000  -1.25
Co 0.500 0.000 0.000  -1.25
Pu 0.125 0.625 0.625  5.03
Pu 0.875 0.375 0.375  5.03

Results
E above lowest polymorph, meV/atom: 0.0
Space group: No. 74
Formation energy, meV per atom: -159

=====

Record 23
An optimized crystal structure of Pu2CoRu3, computed with PBE.

Lattice parameters (Å, degrees): 5.378 5.378 5.107 90.01 121.79 119.97
Last column: magnetic moment on the atom in μB.
Sites, in units of the cell vectors:
Pu 0.752 0.376 0.128  4.97
Pu 0.248 0.624 0.872  4.97
Ru 0.500 0.000 0.500  -0.67
Ru 0.000 0.000 0.500  -0.67
Ru 0.500 0.500 0.500  -0.67
Co 0.000 0.000 0.000  -1.21

Results
Space group: No. 166
Formation energy, meV per atom: -147

=====

Record 24
An optimized crystal structure of Pu4CoRu3, computed with PBE.

Lattice parameters (Å, degrees): 4.729 4.729 7.603 108.08 108.12 90.00
Last column: magnetic moment on the atom in μB.
Sites, in units of the cell vectors:
Co 0.500 0.000 0.000  -1.31
Pu 0.377 0.377 0.753  4.97
Pu 0.623 0.623 0.247  4.97
Pu 0.123 0.123 0.247  4.97
Pu 0.877 0.877 0.753  4.97
Ru 0.000 0.500 0.000  -0.81
Ru 0.250 0.750 0.500  -0.71
Ru 0.750 0.250 0.500  -0.71

Results
Space group: No. 139
Formation energy, meV per atom: -94